Entry 1:
Crystalline Rb2BiTeBr6 at its relaxed geometry, computed with PBE-GGA.

a = 8.459 Å, b = 8.459 Å, c = 11.565 Å
α = 90.00°, β = 90.00°, γ = 90.00°
Space group I4/mmm (No. 139)
Unique sites:
1 Rb 0.000 0.500 0.250 (multiplicity 4)
2 Bi 0.000 0.000 0.000 (multiplicity 2)
3 Te 0.000 0.000 0.500 (multiplicity 2)
4 Br 0.000 0.000 0.251 (multiplicity 4)
5 Br 0.242 0.242 0.000 (multiplicity 8)

Values from the calculation:
Total magnetic moment ... 0.00 μB per formula unit
N(E_F) ... 4.7 states/eV/f.u.
Formation energy (no corrections) ... -0.88 eV/atom
Crystal system ... tetragonal

Entry 2:
Crystalline Mg2CdAg at its relaxed geometry, computed with PBE-GGA.

a = 3.405 Å, b = 4.801 Å, c = 9.830 Å
α = 90.00°, β = 90.00°, γ = 90.00°
Space group Imm2 (No. 44)
Unique sites:
1 Mg 0.000 0.000 0.000 (multiplicity 2)
2 Mg 0.000 0.500 0.228 (multiplicity 2)
3 Cd 0.000 0.000 0.470 (multiplicity 2)
4 Ag 0.000 0.500 0.733 (multiplicity 2)

Values from the calculation:
Total magnetic moment ... 0.00 μB per formula unit
N(E_F) ... 1.0 states/eV/f.u.
Crystal system ... orthorhombic
DFT formation energy ... -0.133 eV per atom

Entry 3:
Crystalline NaTcNi at its relaxed geometry, computed with PBE-GGA.

a = 4.096 Å, b = 12.292 Å, c = 3.929 Å
α = 90.00°, β = 90.00°, γ = 90.00°
Space group Cmcm (No. 63)
Unique sites:
1 Na 0.000 0.248 0.250 (multiplicity 4)
2 Tc 0.000 0.447 0.750 (multiplicity 4)
3 Ni 0.000 0.059 0.750 (multiplicity 4)

Values from the calculation:
Total magnetic moment ... 0.00 μB per formula unit
N(E_F) ... 2.5 states/eV/f.u.
Crystal system ... orthorhombic
DFT formation energy ... 0.447 eV per atom

N(E_F) of number 1 (Rb2BiTeBr6)? 4.7 states/eV/f.u.

Look up the total magnetic moment of the first one. 0.00 μB per formula unit

Please write out number 3 again, unchanged.
Crystalline NaTcNi at its relaxed geometry, computed with PBE-GGA.

a = 4.096 Å, b = 12.292 Å, c = 3.929 Å
α = 90.00°, β = 90.00°, γ = 90.00°
Space group Cmcm (No. 63)
Unique sites:
1 Na 0.000 0.248 0.250 (multiplicity 4)
2 Tc 0.000 0.447 0.750 (multiplicity 4)
3 Ni 0.000 0.059 0.750 (multiplicity 4)

Values from the calculation:
Total magnetic moment ... 0.00 μB per formula unit
N(E_F) ... 2.5 states/eV/f.u.
Crystal system ... orthorhombic
DFT formation energy ... 0.447 eV per atom

Look up the total magnetic moment of the second one. 0.00 μB per formula unit